Record 1
{"formula": "Hf3MnF6", "functional": "PBE with a Hubbard U", "state": "optimized geometry", "lattice": [[5.0480, -3.0328, 0.0000], [5.0480, 3.0328, 0.0000], [-4.0008, 0.0000, 6.9949]], "species": ["Hf", "Hf", "Hf", "Mn", "F", "F", "F", "F", "F", "F"], "fractional_positions": [[0.0000, 0.0000, 0.0000], [0.0000, 0.5000, 0.5000], [0.5000, 0.0000, 0.5000], [0.0000, 0.0000, 0.5000], [0.1050, 0.6360, 0.7994], [0.1398, 0.1398, 0.8986], [0.3640, 0.8950, 0.2006], [0.6360, 0.1050, 0.7994], [0.8602, 0.8602, 0.1014], [0.8950, 0.3640, 0.2006]], "volume_a3_per_atom": 21.4, "dos_ef_per_ev_atom": 0.3002, "total_magnetization_mub_per_atom": 0.402, "e_tot_ev_per_atom": -7.124, "e_above_lowest_polymorph_kj_per_mol_atoms": 0.0}

---

Record 2
{"formula": "CsCoCuO2", "functional": "PBE with a Hubbard U", "state": "optimized geometry", "lattice": [[2.8304, -6.2762, 0.0000], [2.8304, 6.2762, 0.0000], [0.0000, 0.0000, 5.0505]], "species": ["Cs", "Cs", "Co", "Co", "Cu", "Cu", "O", "O", "O", "O"], "fractional_positions": [[0.2500, 0.7500, 0.7507], [0.7500, 0.2500, 0.2493], [0.2500, 0.2500, 0.5000], [0.7500, 0.7500, 0.5000], [0.0000, 0.0000, 0.0000], [0.5000, 0.5000, 0.0000], [0.0847, 0.9153, 0.3020], [0.4153, 0.5847, 0.3020], [0.5847, 0.4153, 0.6980], [0.9153, 0.0847, 0.6980]], "volume_a3_per_atom": 17.9, "total_magnetization_mub_per_atom": 0.600, "e_tot_ev_per_atom": -4.935}